## one
Here is ZrMoW after structural relaxation from Alexandria via LeMat-Bulk. Energies are from PBE.

The structure in extended XYZ format:
```
3
Lattice="4.5834 0.0000 0.0000 -2.2917 3.9693 0.0000 0.0000 0.0000 2.9225" Properties=species:S:1:pos:R:3 pbc="T T T"
Zr 0.0000 0.0000 0.0000
Mo 2.2917 1.3231 0.9921
W 0.0000 2.6462 1.8383
```

## two
Here is ZrMoW after structural relaxation from Alexandria via LeMat-Bulk. Energies are from PBE.

The structure in extended XYZ format:
```
3
Lattice="0.0000 2.3768 6.9181 1.6173 0.0000 6.9181 1.6173 2.3768 0.0000" Properties=species:S:1:pos:R:3 pbc="T T T"
Zr 0.0000 0.0000 0.0000
Mo 1.6173 2.3768 9.3137
W 1.6173 2.3768 4.4922
```

## three
Here is ZrMoW after structural relaxation from Alexandria via LeMat-Bulk. Energies are from PBE.

The structure in extended XYZ format:
```
3
Lattice="3.1180 0.0000 0.0000 -1.5590 2.7003 0.0000 0.0000 0.0000 6.5655" Properties=species:S:1:pos:R:3 pbc="T T T"
Zr 0.0000 0.0000 0.0000
Mo 1.5590 0.9001 2.3282
W 0.0000 1.8002 4.2172
```

Which of them is the most stable, and which is the least stable? one and three, in that order.

## one
Here is ZrMoW3 after structural relaxation from Alexandria via LeMat-Bulk. Energies are from PBE.

The structure in extended XYZ format:
```
5
Lattice="4.7442 0.0000 0.0000 0.0000 4.7442 0.0000 0.0000 0.0000 4.7442" Properties=species:S:1:pos:R:3 pbc="T T T"
Zr 0.0000 0.0000 0.0000
Mo 2.3721 2.3721 2.3721
W 0.0000 2.3721 2.3721
W 2.3721 0.0000 2.3721
W 2.3721 2.3721 0.0000
```

## two
Here is ZrMoW3 after structural relaxation from Alexandria via LeMat-Bulk. Energies are from PBE.

The structure in extended XYZ format:
```
5
Lattice="4.7134 0.0000 0.0000 0.0000 4.7134 0.0000 0.0000 0.0000 4.7134" Properties=species:S:1:pos:R:3 pbc="T T T"
Zr 0.0000 0.0000 0.0000
Mo 2.3567 2.3567 2.3567
W 0.0000 0.0000 2.3567
W 0.0000 2.3567 0.0000
W 2.3567 0.0000 0.0000
```

Which of them is the most stable, and which is the least stable? one and two, in that order.

## one
Here is Y3Mo5 after structural relaxation from Alexandria via LeMat-Bulk. Energies are from PBE.

The structure in extended XYZ format:
```
8
Lattice="3.4541 -4.7247 0.0000 3.4541 4.7247 0.0000 0.0000 0.0000 4.9304" Properties=species:S:1:pos:R:3 pbc="T T T"
Y 0.0000 0.0000 0.0000
Y 3.4541 2.5603 2.4652
Y 3.4541 -2.5603 2.4652
Mo 1.7270 2.3623 0.0000
Mo 2.1977 0.0000 2.4652
Mo 1.7270 -2.3623 0.0000
Mo 3.4541 0.0000 0.0000
Mo 4.7104 0.0000 2.4652
```

## two
Here is Y3Mo5 after structural relaxation from Alexandria via LeMat-Bulk. Energies are from PBE.

The structure in extended XYZ format:
```
16
Lattice="9.6722 0.0000 0.0000 -4.8361 8.3764 0.0000 0.0000 0.0000 4.6367" Properties=species:S:1:pos:R:3 pbc="T T T"
Y -1.8199 3.1521 1.1592
Y -3.0162 5.2243 3.4775
Y 3.6398 0.0000 1.1592
Y 1.8199 3.1521 3.4775
Y 6.0324 0.0000 3.4775
Y 3.0162 5.2243 1.1592
Mo -0.7440 1.2886 3.4775
Mo -4.0921 7.0878 1.1592
Mo 1.4879 0.0000 3.4775
Mo 0.7440 1.2886 1.1592
Mo 0.0000 5.5843 0.0000
Mo 0.0000 5.5843 2.3184
Mo 4.8361 2.7921 0.0000
Mo 4.8361 2.7921 2.3184
Mo 8.1843 0.0000 1.1592
Mo 4.0921 7.0878 3.4775
```

Which of them is the most stable, and which is the least stable? one and two, in that order.

## one
Here is Y5Mo3 after structural relaxation from Alexandria via LeMat-Bulk. Energies are from PBE.

The structure in extended XYZ format:
```
16
Lattice="8.6034 0.0000 0.0000 -4.3017 7.4508 0.0000 0.0000 0.0000 6.1975" Properties=species:S:1:pos:R:3 pbc="T T T"
Y -1.1148 1.9310 1.5494
Y -3.1869 5.5198 4.6481
Y 2.2297 0.0000 1.5494
Y 1.1148 1.9310 4.6481
Y 0.0000 4.9672 0.0000
Y 0.0000 4.9672 3.0988
Y 4.3017 2.4836 0.0000
Y 4.3017 2.4836 3.0988
Y 6.3738 0.0000 4.6481
Y 3.1869 5.5198 1.5494
Mo -1.7260 2.9895 4.6481
Mo -2.5757 4.4613 1.5494
Mo 3.4520 0.0000 4.6481
Mo 1.7260 2.9895 1.5494
Mo 5.1515 0.0000 1.5494
Mo 2.5757 4.4613 4.6481
```

## two
Here is Y5Mo3 after structural relaxation from Alexandria via LeMat-Bulk. Energies are from PBE.

The structure in extended XYZ format:
```
8
Lattice="3.8740 -5.1237 0.0000 3.8740 5.1237 0.0000 0.0000 0.0000 4.7907" Properties=species:S:1:pos:R:3 pbc="T T T"
Y 0.0000 0.0000 0.0000
Y 1.9370 2.5619 0.0000
Y 2.2662 0.0000 2.3954
Y 1.9370 -2.5619 0.0000
Y 5.4818 0.0000 2.3954
Mo 3.8740 2.9549 2.3954
Mo 3.8740 0.0000 0.0000
Mo 3.8740 -2.9549 2.3954
```

Which of them is the most stable, and which is the least stable? one and two, in that order.

## one
Here is Y5Mo4 after structural relaxation from Alexandria via LeMat-Bulk. Energies are from PBE.

The structure in extended XYZ format:
```
9
Lattice="-5.4953 5.4953 1.7081 5.4953 -5.4953 1.7081 5.4953 5.4953 -1.7081" Properties=species:S:1:pos:R:3 pbc="T T T"
Y 0.0000 0.0000 0.0000
Y 3.6490 3.6490 0.0000
Y 1.8463 -1.8463 1.7081
Y -1.8463 1.8463 1.7081
Y 1.8463 1.8463 1.7081
Mo 4.0215 0.0000 0.0000
Mo 6.9691 0.0000 0.0000
Mo 0.0000 4.0215 0.0000
Mo 0.0000 6.9691 0.0000
```

## two
Here is Y5Mo4 after structural relaxation from Alexandria via LeMat-Bulk. Energies are from PBE.

The structure in extended XYZ format:
```
18
Lattice="8.8375 0.0000 0.0000 -4.4188 7.6535 0.0000 0.0000 0.0000 6.1595" Properties=species:S:1:pos:R:3 pbc="T T T"
Y -1.5749 2.7278 1.5399
Y -2.8439 4.9258 4.6196
Y 0.0000 5.1024 0.0000
Y 0.0000 5.1024 3.0798
Y 3.1498 0.0000 1.5399
Y 1.5749 2.7278 4.6196
Y 5.6878 0.0000 4.6196
Y 2.8439 4.9258 1.5399
Y 4.4188 2.5512 0.0000
Y 4.4188 2.5512 3.0798
Mo 0.0000 0.0000 0.0000
Mo 0.0000 0.0000 3.0798
Mo -1.1215 1.9426 4.6196
Mo -3.2972 5.7110 1.5399
Mo 2.2431 0.0000 4.6196
Mo 1.1215 1.9426 1.5399
Mo 6.5945 0.0000 1.5399
Mo 3.2972 5.7110 4.6196
```

Which of them is the most stable, and which is the least stable? one and two, in that order.

## one
Here is Y2Mo3 after structural relaxation from Alexandria via LeMat-Bulk. Energies are from PBE.

The structure in extended XYZ format:
```
10
Lattice="0.0000 7.5815 2.9515 4.9747 0.0000 2.9515 4.9747 7.5815 0.0000" Properties=species:S:1:pos:R:3 pbc="T T T"
Y 5.7905 4.5588 2.9515
Y 6.6462 8.3495 4.4273
Y 4.1589 10.6042 2.9515
Y 3.3032 6.8134 4.4273
Mo 4.1397 1.8886 2.9775
Mo 1.6523 1.9022 1.5017
Mo 4.9747 7.5815 1.5408
Mo 3.3224 5.6793 1.5017
Mo 7.4620 11.3722 3.0165
Mo 5.8097 13.2744 2.9775
```

## two
Here is Y2Mo3 after structural relaxation from Alexandria via LeMat-Bulk. Energies are from PBE.

The structure in extended XYZ format:
```
5
Lattice="3.2309 0.0000 0.0000 -1.6155 2.7981 0.0000 0.0000 0.0000 11.6533" Properties=species:S:1:pos:R:3 pbc="T T T"
Y 0.0000 1.8654 3.4308
Y 1.6155 0.9327 8.2226
Mo 0.0000 0.0000 5.8267
Mo 0.0000 1.8654 10.8061
Mo 1.6155 0.9327 0.8472
```

## three
Here is Y2Mo3 after structural relaxation from Alexandria via LeMat-Bulk. Energies are from PBE.

The structure in extended XYZ format:
```
5
Lattice="1.5863 0.9159 11.8455 -1.5863 0.9159 11.8455 0.0000 -1.8317 11.8455" Properties=species:S:1:pos:R:3 pbc="T T T"
Y 0.0000 0.0000 3.4297
Y 0.0000 0.0000 32.1068
Mo 0.0000 0.0000 10.9475
Mo 0.0000 0.0000 17.7682
Mo 0.0000 0.0000 24.5890
```

Which of them is the most stable, and which is the least stable? one and two, in that order.

## one
Here is Y4Mo3 after structural relaxation from Alexandria via LeMat-Bulk. Energies are from PBE.

The structure in extended XYZ format:
```
7
Lattice="5.4268 0.0000 0.0000 -2.7134 4.6998 0.0000 0.0000 0.0000 6.3646" Properties=species:S:1:pos:R:3 pbc="T T T"
Y 0.0000 0.0000 1.5843
Y 0.0000 0.0000 4.7802
Y 0.0000 3.1332 3.1823
Y 2.7134 1.5666 3.1823
Mo -1.3567 2.3499 0.0000
Mo 2.7134 0.0000 0.0000
Mo 1.3567 2.3499 0.0000
```

## two
Here is Y4Mo3 after structural relaxation from Alexandria via LeMat-Bulk. Energies are from PBE.

The structure in extended XYZ format:
```
7
Lattice="-1.6820 1.6820 14.9751 1.6820 -1.6820 14.9751 1.6820 1.6820 -14.9751" Properties=species:S:1:pos:R:3 pbc="T T T"
Y 0.0000 0.0000 1.8032
Y 0.0000 0.0000 10.1069
Y 0.0000 0.0000 19.8433
Y 0.0000 0.0000 28.1469
Mo 0.0000 0.0000 6.8316
Mo 0.0000 0.0000 14.9751
Mo 0.0000 0.0000 23.1186
```

Which of them is the most stable, and which is the least stable? two and one, in that order.

## one
Here is YZn2Mo after structural relaxation from Alexandria via LeMat-Bulk. Energies are from PBE.

The structure in extended XYZ format:
```
4
Lattice="3.0604 0.0000 0.0000 0.0000 3.8418 0.0000 -0.0168 0.0000 6.1476" Properties=species:S:1:pos:R:3 pbc="T T T"
Y 0.0000 0.0000 0.0000
Zn 1.5259 1.9209 1.7898
Zn 1.5177 1.9209 4.3578
Mo -0.0084 0.0000 3.0738
```

## two
Here is YZn2Mo after structural relaxation from Alexandria via LeMat-Bulk. Energies are from PBE.

The structure in extended XYZ format:
```
4
Lattice="1.5132 0.8737 9.4240 -1.5132 0.8737 9.4240 0.0000 -1.7473 9.4240" Properties=species:S:1:pos:R:3 pbc="T T T"
Y 0.0000 0.0000 0.0000
Zn 0.0000 0.0000 6.8361
Zn 0.0000 0.0000 21.4360
Mo 0.0000 0.0000 14.1360
```

## three
Here is YZn2Mo after structural relaxation from Alexandria via LeMat-Bulk. Energies are from PBE.

The structure in extended XYZ format:
```
4
Lattice="2.9645 0.0000 0.0000 0.0000 2.9645 0.0000 0.0000 0.0000 8.1286" Properties=species:S:1:pos:R:3 pbc="T T T"
Y 0.0000 0.0000 0.0000
Zn 1.4822 1.4822 2.2371
Zn 1.4822 1.4822 5.8915
Mo 0.0000 0.0000 4.0643
```

## four
Here is YZn2Mo after structural relaxation from Alexandria via LeMat-Bulk. Energies are from PBE.

The structure in extended XYZ format:
```
4
Lattice="2.9728 0.0000 0.0000 0.0000 4.7519 0.0000 -0.3196 0.0000 5.0983" Properties=species:S:1:pos:R:3 pbc="T T T"
Y 0.0000 0.0000 0.0000
Zn 1.4416 0.0000 2.5828
Zn 1.5653 2.3759 0.8887
Mo 0.2330 2.3759 3.2262
```

Which of them is the most stable, and which is the least stable? one and two, in that order.

## one
Here is YZnMo after structural relaxation from Alexandria via LeMat-Bulk. Energies are from PBE.

The structure in extended XYZ format:
```
3
Lattice="0.0000 3.3532 3.3532 3.3532 0.0000 3.3532 3.3532 3.3532 0.0000" Properties=species:S:1:pos:R:3 pbc="T T T"
Y 0.0000 0.0000 0.0000
Zn 5.0298 5.0298 5.0298
Mo 1.6766 1.6766 1.6766
```

## two
Here is YZnMo after structural relaxation from Alexandria via LeMat-Bulk. Energies are from PBE.

The structure in extended XYZ format:
```
3
Lattice="-1.6025 1.8466 5.0029 1.6025 -1.8466 5.0029 1.6025 1.8466 -5.0029" Properties=species:S:1:pos:R:3 pbc="T T T"
Y 0.0000 0.0000 0.0000
Zn 0.0000 0.0000 6.9786
Mo 0.0000 0.0000 3.1053
```

## three
Here is YZnMo after structural relaxation from Alexandria via LeMat-Bulk. Energies are from PBE.

The structure in extended XYZ format:
```
3
Lattice="4.7650 0.0000 0.0000 -2.3825 4.1267 0.0000 0.0000 0.0000 3.0259" Properties=species:S:1:pos:R:3 pbc="T T T"
Y 0.0000 0.0000 0.0000
Zn 0.0000 2.7511 1.5063
Mo 2.3825 1.3755 1.5175
```

## four
Here is YZnMo after structural relaxation from Alexandria via LeMat-Bulk. Energies are from PBE.

The structure in extended XYZ format:
```
3
Lattice="0.0000 3.2041 3.2041 3.2041 0.0000 3.2041 3.2041 3.2041 0.0000" Properties=species:S:1:pos:R:3 pbc="T T T"
Y 0.0000 0.0000 0.0000
Zn 1.6020 1.6020 1.6020
Mo 3.2041 3.2041 3.2041
```

Which of them is the most stable, and which is the least stable? two and one, in that order.

## one
Here is YZn3Mo after structural relaxation from Alexandria via LeMat-Bulk. Energies are from PBE.

The structure in extended XYZ format:
```
5
Lattice="5.3504 0.0000 0.0000 0.0000 5.3504 0.0000 0.0000 0.0000 5.3504" Properties=species:S:1:pos:R:3 pbc="T T T"
Y 0.0000 0.0000 0.0000
Zn 0.0000 0.0000 2.6752
Zn 0.0000 2.6752 0.0000
Zn 2.6752 0.0000 0.0000
Mo 2.6752 2.6752 2.6752
```

## two
Here is YZn3Mo after structural relaxation from Alexandria via LeMat-Bulk. Energies are from PBE.

The structure in extended XYZ format:
```
5
Lattice="4.8112 0.0000 0.0000 0.0000 4.8112 0.0000 0.0000 0.0000 4.8112" Properties=species:S:1:pos:R:3 pbc="T T T"
Y 0.0000 0.0000 0.0000
Zn 0.0000 2.4056 2.4056
Zn 2.4056 0.0000 2.4056
Zn 2.4056 2.4056 0.0000
Mo 2.4056 2.4056 2.4056
```

Which of them is the most stable, and which is the least stable? two and one, in that order.